Computed, not measured: an optimized crystal structure of NaSr2Rh2 at the PBE-GGA level of DFT.

The formation energy comes out at 0.12 eV/atom. The total energy comes out at -3.761 eV/atom.

It has space group P4/mbm (No. 127), with a = 8.771 Å, b = 8.771 Å, c = 3.326 Å, α = 90.00°, β = 90.00° and γ = 90.00°. The asymmetric unit holds Na at (0.000, 0.000, 0.000), Sr at (0.142, 0.358, 0.000) and Rh at (0.157, 0.657, 0.500).



Computed, not measured: an optimized crystal structure of NaSr3Rh at the PBE-GGA level of DFT.

The formation energy comes out at 0.21 eV/atom. The total energy comes out at -2.536 eV/atom.

It has space group Amm2 (No. 38), with a = 4.108 Å, b = 8.239 Å, c = 20.029 Å, α = 90.00°, β = 90.00° and γ = 90.00°. The asymmetric unit holds Na at (0.000, 0.000, 0.000), Sr at (0.000, 0.238, 0.664), Sr at (0.500, 0.000, 0.827) and Rh at (0.500, 0.000, 0.693).



Computed, not measured: an optimized crystal structure of NaSrRh2 at the PBE-GGA level of DFT.

The formation energy comes out at 0.48 eV/atom. The total energy comes out at -3.947 eV/atom.

It has space group I-42d (No. 122), with a = 7.973 Å, b = 7.973 Å, c = 5.474 Å, α = 90.00°, β = 90.00° and γ = 90.00°. The asymmetric unit holds Na at (0.000, 0.000, 0.000), Sr at (0.000, 0.000, 0.500) and Rh at (0.231, 0.250, 0.125).



Computed, not measured: an optimized crystal structure of NaSr3Rh at the PBE-GGA level of DFT.

The formation energy comes out at -0.10 eV/atom. The total energy comes out at -2.840 eV/atom.

It has space group C2/c (No. 15), with a = 12.850 Å, b = 18.655 Å, c = 7.200 Å, α = 90.00°, β = 113.79° and γ = 90.00°. The asymmetric unit holds Na at (0.000, 0.030, 0.250), Na at (0.000, 0.381, 0.750), Sr at (0.106, 0.244, 0.511), Sr at (0.173, 0.433, 0.330), Sr at (0.182, 0.148, 0.024) and Rh at (0.153, 0.295, 0.144).



Computed, not measured: an optimized crystal structure of Na3SrRh at the PBE-GGA level of DFT.

The formation energy comes out at 1.42 eV/atom. The total energy comes out at -1.182 eV/atom.

It has space group Pm-3m (No. 221), with a = 5.968 Å, b = 5.968 Å, c = 5.968 Å, α = 90.00°, β = 90.00° and γ = 90.00°. The asymmetric unit holds Na at (0.000, 0.000, 0.500), Sr at (0.000, 0.000, 0.000) and Rh at (0.500, 0.500, 0.500).



Computed, not measured: an optimized crystal structure of NaSr3Rh at the PBE-GGA level of DFT.

The formation energy comes out at -0.15 eV/atom. The total energy comes out at -2.895 eV/atom.

It has space group Pm-3m (No. 221), with a = 5.928 Å, b = 5.928 Å, c = 5.928 Å, α = 90.00°, β = 90.00° and γ = 90.00°. The asymmetric unit holds Na at (0.000, 0.000, 0.000), Sr at (0.000, 0.500, 0.500) and Rh at (0.500, 0.500, 0.500).



Computed, not measured: an optimized crystal structure of NaSr3Rh at the PBE-GGA level of DFT.

The formation energy comes out at -0.11 eV/atom. The total energy comes out at -2.852 eV/atom.

It has space group Pmmn (No. 59, origin choice 2), with a = 5.209 Å, b = 7.763 Å, c = 9.465 Å, α = 90.00°, β = 90.00° and γ = 90.00°. The asymmetric unit holds Na at (0.250, 0.250, 0.226), Sr at (0.250, 0.019, 0.637), Sr at (0.250, 0.750, 0.081) and Rh at (0.250, 0.750, 0.390).



Computed, not measured: an optimized crystal structure of NaSrTa2Rh at the PBE-GGA level of DFT.

The formation energy comes out at 0.86 eV/atom. The total energy comes out at -5.956 eV/atom.

It has space group P4/mmm (No. 123), with a = 4.883 Å, b = 4.883 Å, c = 5.905 Å, α = 90.00°, β = 90.00° and γ = 90.00°. The asymmetric unit holds Na at (0.000, 0.000, 0.000), Sr at (0.500, 0.500, 0.000), Ta at (0.000, 0.500, 0.500) and Rh at (0.500, 0.500, 0.500).



Computed, not measured: an optimized crystal structure of NaSr2TlRh at the PBE-GGA level of DFT.

The formation energy comes out at -0.20 eV/atom. The total energy comes out at -3.080 eV/atom.

It has space group P4/mmm (No. 123), with a = 5.819 Å, b = 5.819 Å, c = 5.361 Å, α = 90.00°, β = 90.00° and γ = 90.00°. The asymmetric unit holds Na at (0.000, 0.000, 0.000), Sr at (0.000, 0.500, 0.500), Tl at (0.500, 0.500, 0.000) and Rh at (0.500, 0.500, 0.500).



Computed, not measured: an optimized crystal structure of NaSr2TlRh at the PBE-GGA level of DFT.

The formation energy comes out at -0.01 eV/atom. The total energy comes out at -2.895 eV/atom.

It has space group P4/mmm (No. 123), with a = 5.700 Å, b = 5.700 Å, c = 5.524 Å, α = 90.00°, β = 90.00° and γ = 90.00°. The asymmetric unit holds Na at (0.000, 0.000, 0.000), Sr at (0.000, 0.500, 0.500), Tl at (0.500, 0.500, 0.000) and Rh at (0.000, 0.000, 0.500).



Computed, not measured: an optimized crystal structure of NaSrTl2Rh at the PBE-GGA level of DFT.

The formation energy comes out at -0.14 eV/atom. The total energy comes out at -3.159 eV/atom.

It has space group P4/mmm (No. 123), with a = 5.367 Å, b = 5.367 Å, c = 5.622 Å, α = 90.00°, β = 90.00° and γ = 90.00°. The asymmetric unit holds Na at (0.000, 0.000, 0.000), Sr at (0.500, 0.500, 0.000), Tl at (0.000, 0.500, 0.500) and Rh at (0.500, 0.500, 0.500).



Computed, not measured: an optimized crystal structure of NaSrTl2Rh at the PBE-GGA level of DFT.

The formation energy comes out at -0.07 eV/atom. The total energy comes out at -3.088 eV/atom.

It has space group P4/mmm (No. 123), with a = 5.287 Å, b = 5.287 Å, c = 5.366 Å, α = 90.00°, β = 90.00° and γ = 90.00°. The asymmetric unit holds Na at (0.000, 0.000, 0.000), Sr at (0.500, 0.500, 0.000), Tl at (0.000, 0.500, 0.500) and Rh at (0.000, 0.000, 0.500).



Computed, not measured: an optimized crystal structure of Na2Sr6TlRh at the PBE-GGA level of DFT.

The formation energy comes out at -0.11 eV/atom. The total energy comes out at -2.352 eV/atom.

It has space group I4/mmm (No. 139), with a = 8.786 Å, b = 8.786 Å, c = 12.411 Å, α = 90.00°, β = 90.00° and γ = 90.00°. The asymmetric unit holds Na at (0.000, 0.500, 0.250), Sr at (0.000, 0.000, 0.237), Sr at (0.237, 0.237, 0.000), Tl at (0.000, 0.000, 0.500) and Rh at (0.000, 0.000, 0.000).



Computed, not measured: an optimized crystal structure of NaSr2ZnRh at the PBE-GGA level of DFT.

The formation energy comes out at -0.14 eV/atom. The total energy comes out at -2.801 eV/atom.

It has space group P4/mmm (No. 123), with a = 5.849 Å, b = 5.849 Å, c = 4.925 Å, α = 90.00°, β = 90.00° and γ = 90.00°. The asymmetric unit holds Na at (0.000, 0.000, 0.000), Sr at (0.000, 0.500, 0.500), Zn at (0.500, 0.500, 0.000) and Rh at (0.500, 0.500, 0.500).



Computed, not measured: an optimized crystal structure of NaTa2Rh2 at the PBE-GGA level of DFT.

The formation energy comes out at -0.14 eV/atom. The total energy comes out at -8.085 eV/atom.

It has space group P4/mbm (No. 127), with a = 7.918 Å, b = 7.918 Å, c = 2.846 Å, α = 90.00°, β = 90.00° and γ = 90.00°. The asymmetric unit holds Na at (0.000, 0.000, 0.000), Ta at (0.149, 0.351, 0.500) and Rh at (0.143, 0.643, 0.000).



Computed, not measured: an optimized crystal structure of NaTa2Rh2 at the PBE-GGA level of DFT.

The formation energy comes out at -0.11 eV/atom. The total energy comes out at -8.057 eV/atom.

It has space group P4/mbm (No. 127), with a = 7.971 Å, b = 7.971 Å, c = 2.814 Å, α = 90.00°, β = 90.00° and γ = 90.00°. The asymmetric unit holds Na at (0.000, 0.000, 0.000), Ta at (0.142, 0.358, 0.000) and Rh at (0.151, 0.651, 0.500).



Computed, not measured: an optimized crystal structure of Na3TaRh at the PBE-GGA level of DFT.

The formation energy comes out at 2.15 eV/atom. The total energy comes out at -2.485 eV/atom.

It has space group Pm-3m (No. 221), with a = 5.709 Å, b = 5.709 Å, c = 5.709 Å, α = 90.00°, β = 90.00° and γ = 90.00°. The asymmetric unit holds Na at (0.000, 0.000, 0.500), Ta at (0.000, 0.000, 0.000) and Rh at (0.500, 0.500, 0.500).



Computed, not measured: an optimized crystal structure of Na3TaRh at the PBE-GGA level of DFT.

The formation energy comes out at 1.72 eV/atom. The total energy comes out at -2.914 eV/atom.

It has space group Pm-3m (No. 221), with a = 5.078 Å, b = 5.078 Å, c = 5.078 Å, α = 90.00°, β = 90.00° and γ = 90.00°. The asymmetric unit holds Na at (0.000, 0.000, 0.500), Ta at (0.500, 0.500, 0.500) and Rh at (0.000, 0.000, 0.000).



Computed, not measured: an optimized crystal structure of NaTaTc2Rh at the PBE-GGA level of DFT.

The formation energy comes out at 1.94 eV/atom. The total energy comes out at -6.309 eV/atom.

It has space group P4/mmm (No. 123), with a = 4.419 Å, b = 4.419 Å, c = 4.334 Å, α = 90.00°, β = 90.00° and γ = 90.00°. The asymmetric unit holds Na at (0.000, 0.000, 0.000), Ta at (0.500, 0.500, 0.500), Tc at (0.000, 0.500, 0.000) and Rh at (0.000, 0.000, 0.500).



Computed, not measured: an optimized crystal structure of NaTaRhW2 at the PBE-GGA level of DFT.

The formation energy comes out at 2.71 eV/atom. The total energy comes out at -6.580 eV/atom.

It has space group P4/mmm (No. 123), with a = 4.464 Å, b = 4.464 Å, c = 4.527 Å, α = 90.00°, β = 90.00° and γ = 90.00°. The asymmetric unit holds Na at (0.000, 0.000, 0.000), Ta at (0.000, 0.000, 0.500), Rh at (0.500, 0.500, 0.500) and W at (0.000, 0.500, 0.000).



Computed, not measured: an optimized crystal structure of NaYTa2Rh at the PBE-GGA level of DFT.

The formation energy comes out at 0.79 eV/atom. The total energy comes out at -6.982 eV/atom.

It has space group P4/mmm (No. 123), with a = 4.854 Å, b = 4.854 Å, c = 5.147 Å, α = 90.00°, β = 90.00° and γ = 90.00°. The asymmetric unit holds Na at (0.000, 0.000, 0.000), Y at (0.500, 0.500, 0.000), Ta at (0.000, 0.500, 0.500) and Rh at (0.000, 0.000, 0.500).



Computed, not measured: an optimized crystal structure of NaZrTaRh2 at the PBE-GGA level of DFT.

The formation energy comes out at 0.71 eV/atom. The total energy comes out at -6.570 eV/atom.

It has space group P4/mmm (No. 123), with a = 4.800 Å, b = 4.800 Å, c = 5.140 Å, α = 90.00°, β = 90.00° and γ = 90.00°. The asymmetric unit holds Na at (0.000, 0.000, 0.000), Zr at (0.500, 0.500, 0.000), Ta at (0.500, 0.500, 0.500) and Rh at (0.000, 0.500, 0.500).



Computed, not measured: an optimized crystal structure of NaTb3Rh at the PBE-GGA level of DFT.

The formation energy comes out at -0.21 eV/atom. The total energy comes out at -4.721 eV/atom.

It has space group Pm-3m (No. 221), with a = 5.467 Å, b = 5.467 Å, c = 5.467 Å, α = 90.00°, β = 90.00° and γ = 90.00°. The asymmetric unit holds Na at (0.000, 0.000, 0.000), Tb at (0.000, 0.500, 0.500) and Rh at (0.500, 0.500, 0.500).



Computed, not measured: an optimized crystal structure of NaTbRh at the PBE-GGA level of DFT.

The formation energy comes out at -0.20 eV/atom. The total energy comes out at -4.630 eV/atom.

It has space group C2/m (No. 12), with a = 8.139 Å, b = 4.650 Å, c = 8.719 Å, α = 90.00°, β = 107.68° and γ = 90.00°. The asymmetric unit holds Na at (0.133, 0.000, 0.403), Tb at (0.123, 0.500, 0.868) and Rh at (0.235, 0.500, 0.210).



Computed, not measured: an optimized crystal structure of NaTc2Rh2 at the PBE-GGA level of DFT.

The formation energy comes out at 0.16 eV/atom. The total energy comes out at -7.196 eV/atom.

It has space group P4/mbm (No. 127), with a = 7.777 Å, b = 7.777 Å, c = 2.686 Å, α = 90.00°, β = 90.00° and γ = 90.00°. The asymmetric unit holds Na at (0.000, 0.000, 0.000), Tc at (0.118, 0.382, 0.000) and Rh at (0.170, 0.670, 0.500).



Computed, not measured: an optimized crystal structure of Na4Tc2Rh at the PBE-GGA level of DFT.

The formation energy comes out at 1.26 eV/atom. The total energy comes out at -3.502 eV/atom.

It has space group I4/mmm (No. 139), with a = 5.411 Å, b = 5.411 Å, c = 14.290 Å, α = 90.00°, β = 90.00° and γ = 90.00°. The asymmetric unit holds Na at (0.000, 0.000, 0.193), Na at (0.000, 0.500, 0.000), Tc at (0.000, 0.000, 0.428) and Rh at (0.000, 0.000, 0.000).